Compound: NaNd6S8
Source: Alexandria
Functional: GGA-PBE
Structure: relaxed

a = 7.5626 Å, b = 7.5626 Å, c = 7.5626 Å
α = 68.19°, β = 68.19°, γ = 68.19°
With the nearest neighbours (Å) after each atom.
Atoms (fractional coordinates):
Na: 0.0000 0.0000 0.0000  6 S 2.81
Nd: 0.0795 0.4609 0.7025  7 S 2.85-3.05
Nd: 0.2975 0.9205 0.5391  7 S 2.85-3.05
Nd: 0.4609 0.7025 0.0795  7 S 2.85-3.05
Nd: 0.5391 0.2975 0.9205  7 S 2.85-3.05
Nd: 0.7025 0.0795 0.4609  7 S 2.85-3.05
Nd: 0.9205 0.5391 0.2975  7 S 2.85-3.05
S: 0.0946 0.8074 0.3632  1 Na 2.81, 5 Nd 2.85-3.05
S: 0.1926 0.6368 0.9054  1 Na 2.81, 5 Nd 2.85-3.05
S: 0.3290 0.3290 0.3290  6 Nd 2.96-3.04
S: 0.3632 0.0946 0.8074  1 Na 2.81, 5 Nd 2.85-3.05
S: 0.6368 0.9054 0.1926  1 Na 2.81, 5 Nd 2.85-3.05
S: 0.6710 0.6710 0.6710  6 Nd 2.96-3.04
S: 0.8074 0.3632 0.0946  1 Na 2.81, 5 Nd 2.85-3.05
S: 0.9054 0.1926 0.6368  1 Na 2.81, 5 Nd 2.85-3.05

Values from the calculation:
ΔE_f (raw), eV/f.u.: -28.44
Space group: R-3
E, hartree per atom: -0.2239
Crystal system: trigonal



Compound: NaNd6S8
Source: Alexandria
Functional: GGA-PBE
Structure: relaxed

a = 8.1014 Å, b = 8.1014 Å, c = 8.1014 Å
α = 60.00°, β = 60.00°, γ = 60.00°
With the nearest neighbours (Å) after each atom.
Atoms (fractional coordinates):
Na: 0.0000 0.0000 0.0000  6 S 2.85
Nd: 0.0000 0.0000 0.5000  6 S 2.86
Nd: 0.0000 0.5000 0.0000  6 S 2.86
Nd: 0.0000 0.5000 0.5000  6 S 2.86
Nd: 0.5000 0.0000 0.0000  6 S 2.86
Nd: 0.5000 0.0000 0.5000  6 S 2.86
Nd: 0.5000 0.5000 0.0000  6 S 2.86
S: 0.2491 0.2491 0.7509  1 Na 2.85, 4 Nd 2.86
S: 0.2491 0.7509 0.2491  1 Na 2.85, 4 Nd 2.86
S: 0.2491 0.7509 0.7509  1 Na 2.85, 4 Nd 2.86
S: 0.2500 0.2500 0.2500  6 Nd 2.86
S: 0.7500 0.7500 0.7500  6 Nd 2.86
S: 0.7509 0.2491 0.2491  1 Na 2.85, 4 Nd 2.86
S: 0.7509 0.2491 0.7509  1 Na 2.85, 4 Nd 2.86
S: 0.7509 0.7509 0.2491  1 Na 2.85, 4 Nd 2.86

Values from the calculation:
ΔE_f (raw), eV/f.u.: -29.45
Space group: Fm-3m
E, hartree per atom: -0.2264
Crystal system: cubic



Compound: NaNdS2
Source: Alexandria
Functional: GGA-PBE
Structure: relaxed

a = 7.2364 Å, b = 7.2364 Å, c = 7.2364 Å
α = 133.49°, β = 133.49°, γ = 67.89°
With the nearest neighbours (Å) after each atom.
Atoms (fractional coordinates):
Na: 0.3750 0.6250 0.7500  6 S 2.86-3.17
Na: 0.6250 0.3750 0.2500  6 S 2.86-3.17
Nd: 0.1250 0.8750 0.2500  6 S 2.84-2.86
Nd: 0.8750 0.1250 0.7500  6 S 2.84-2.86
S: 0.1111 0.3611 0.7500  3 Nd 2.84-2.86, 3 Na 2.86-3.17
S: 0.3611 0.1111 0.2500  3 Nd 2.84-2.86, 3 Na 2.86-3.17
S: 0.6389 0.8889 0.7500  3 Nd 2.84-2.86, 3 Na 2.86-3.17
S: 0.8889 0.6389 0.2500  3 Nd 2.84-2.86, 3 Na 2.86-3.17

Values from the calculation:
ΔE_f (raw), eV/f.u.: -7.13
Space group: I4_1/amd
E, hartree per atom: -0.1973
Crystal system: tetragonal